1.
The following is a DFT calculation (GGA-PBE) of Nd3SnS2 after structural relaxation.

a b c (Å): 4.2392 6.0165 12.6726
angles (deg): 90.00 90.00 90.00
Space group Immm (No. 71)
Unique sites:
Nd: 0.0000 0.0000 0.0000
Nd: 0.0000 0.0000 0.3204
Sn: 0.0000 0.5000 0.0000
S: 0.0000 0.5000 0.3371

Calculated volume (Å³/cell): 323
Uncorrected formation energy (eV/f.u.): -9.4
Total DFT energy (no corrections) (eV per atom): -5.987
Total moment (μB per formula unit): 0.00
Crystal system: orthorhombic
Density (g/cm3): 6.33

2.
The following is a DFT calculation (GGA-PBE) of Nd4SnS2 after structural relaxation.

a b c (Å): 4.2384 13.3871 13.8804
angles (deg): 90.00 90.00 90.00
Space group Cmcm (No. 63)
Unique sites:
Nd: 0.0000 0.0000 0.0000
Nd: 0.0000 0.2666 0.1160
Nd: 0.0000 0.4370 0.7500
Sn: 0.0000 0.1096 0.7500
S: 0.0000 0.3666 0.5603

Calculated volume (Å³/cell): 788
Uncorrected formation energy (eV/f.u.): -9.9
Total DFT energy (no corrections) (eV per atom): -5.885
Total moment (μB per formula unit): 0.65
Crystal system: orthorhombic
Density (g/cm3): 6.41

3.
The following is a DFT calculation (GGA-PBE) of NdSnS3 after structural relaxation.

a b c (Å): 15.9903 4.0932 7.6660
angles (deg): 90.00 100.87 90.00
Space group C2/m (No. 12)
Unique sites:
Nd: 0.2090 0.0000 0.2386
Sn: 0.0484 0.5000 0.6955
S: 0.0283 0.0000 0.2120
S: 0.1584 0.5000 0.9780
S: 0.1757 0.0000 0.5984

Calculated volume (Å³/cell): 493
Uncorrected formation energy (eV/f.u.): -5.5
Total DFT energy (no corrections) (eV per atom): -5.324
Total moment (μB per formula unit): 0.00
Crystal system: monoclinic
ΔE to the lowest computed polymorph (meV/atom): 49
Density (g/cm3): 4.84